DFT (GGA-PBE) results for a relaxed KMnNi4 crystal.

Values from the calculation:
* energy of formation: 0.476 eV per atom

Cell lengths 4.9797, 4.9797, 4.9797 Å; angles 60.00, 60.00, 60.00 degrees
Last column: nearest neighbours and their distance in Å.
Fractional positions:
K 0.0000 0.0000 0.0000  12 Ni 2.92, 4 Mn 3.05
Mn 0.7500 0.7500 0.7500  12 Ni 2.92, 4 K 3.05
Ni 0.3761 0.3761 0.3761  6 Ni 2.47-2.51
Ni 0.3761 0.3761 0.8716  6 Ni 2.47-2.51
Ni 0.3761 0.8716 0.3761  6 Ni 2.47-2.51
Ni 0.8716 0.3761 0.3761  6 Ni 2.47-2.51